1.
Below is an optimized crystal structure of LiTlOs2, with properties calculated at the GGA-PBE level.

## Properties
Energy relative to the elements = 0.881 eV/atom
E above lowest polymorph = 0.5056 eV per atom
E = -5.80 eV/atom
Space group = No. 123

Unit cell a=3.1685 b=3.1685 c=6.2387 alpha=90.00 beta=90.00 gamma=90.00
Fractional positions:
Li 0.5000 0.5000 0.7500
Os 0.0000 0.0000 0.5587
Os 0.0000 0.0000 0.9413
Tl 0.5000 0.5000 0.2500

2.
Below is an optimized crystal structure of LiTl3Os, with properties calculated at the GGA-PBE level.

## Properties
Energy relative to the elements = 1.182 eV/atom
E above lowest polymorph = 0.7651 eV per atom
E = -2.87 eV/atom
Space group = No. 221

Unit cell a=4.9580 b=4.9580 c=4.9580 alpha=90.00 beta=90.00 gamma=90.00
Fractional positions:
Os 0.5000 0.5000 0.5000
Tl 0.0000 0.5000 0.0000
Tl 0.5000 0.0000 0.0000
Tl 0.0000 0.0000 0.5000
Li 0.0000 0.0000 0.0000

3.
Below is an optimized crystal structure of Li2TlOs, with properties calculated at the GGA-PBE level.

## Properties
Energy relative to the elements = 0.372 eV/atom
E = -3.98 eV/atom
Space group = No. 123

Unit cell a=4.0618 b=3.9574 c=3.9574 alpha=90.00 beta=90.00 gamma=90.00
Fractional positions:
Os 0.5000 0.5000 0.0000
Li 0.0000 0.0000 0.0000
Li 0.0000 0.5000 0.5000
Tl 0.5000 0.0000 0.5000